Entry 1:
meta-GGA SCAN BaPS2F, PBEsol geometry; E_tot = -69.93 eV/cell; symmetry = No. 123
1.0
5.9871 0.0000 0.0000
0.0000 5.9871 0.0000
0.0000 0.0000 6.7743
Ba P S F
1 1 2 1
Direct
0.0000 0.0000 0.0000 Ba
0.0000 0.0000 0.5000 P
0.0000 0.5000 0.0000 S
0.5000 0.0000 0.0000 S
0.5000 0.5000 0.5000 F

=====

Entry 2:
meta-GGA SCAN TiBiP3, PBEsol geometry; E_tot = -124.46 eV/cell; formation energy = 0.2695 eV per atom; symmetry = No. 221
1.0
4.6932 0.0000 0.0000
0.0000 4.6932 0.0000
0.0000 0.0000 4.6932
Ti Bi P
1 1 3
Direct
0.0000 0.0000 0.0000 Ti
0.5000 0.5000 0.5000 Bi
0.0000 0.0000 0.5000 P
0.0000 0.5000 0.0000 P
0.5000 0.0000 0.0000 P

=====

E_tot of number 1 (BaPS2F)?
-69.93 eV/cell